A plane-wave DFT calculation with PBE was carried out for crystalline CsSrAg2Hg at its relaxed geometry.

Cell and atoms, written as POSCAR:
```
CsSrAg2Hg
1.0
6.109 0.000 0.000
0.000 6.109 0.000
0.000 0.000 8.108
Cs Sr Ag Hg
1 1 2 1
Direct
0.000 0.000 0.000
0.000 0.000 0.500
0.000 0.500 0.500
0.500 0.000 0.500
0.500 0.500 0.000
```

Properties
Formation enthalpy at 0 K   0.4306 eV/atom

---

A plane-wave DFT calculation with PBE was carried out for crystalline TlSbIrI2 at its relaxed geometry.

Cell and atoms, written as POSCAR:
```
TlSbIrI2
1.0
5.844 0.000 0.000
0.000 5.844 0.000
0.000 0.000 4.951
Tl Sb Ir I
1 1 1 2
Direct
0.000 0.000 0.000
0.500 0.500 0.000
0.500 0.500 0.500
0.000 0.500 0.500
0.500 0.000 0.500
```

Properties
Formation energy without anion corrections   119 meV per atom
Offset from the most stable computed form   0.000 eV per formula unit

---

| no. | E (eV/atom) | DOS at the Fermi energy (states/eV per atom) |
| --- | --- | --- |
| 1 | -1.277 | 1.2380 |
| 2 | -3.571 | 0.2911 |